The following is a DFT calculation (PBE) of a relaxed Pm6SiRh3 crystal.

Geometry as POSCAR:
```
Pm6SiRh3
1.0
11.542 0.000 0.000
0.000 4.178 0.000
-3.770 0.000 11.349
Pm Si Rh
12 2 6
Cartesian
-1.113 1.044 4.417
-2.329 1.044 10.646
1.663 3.133 3.110
0.634 3.133 8.664
2.341 1.044 6.131
4.487 3.133 1.165
3.285 1.044 10.184
5.431 3.133 5.218
7.138 1.044 2.685
6.109 1.044 8.239
10.101 3.133 0.703
8.885 3.133 6.933
4.054 1.044 3.522
3.718 3.133 7.827
0.098 1.044 1.872
0.237 3.133 5.728
0.528 1.044 10.498
7.244 3.133 0.851
7.535 1.044 5.621
7.674 3.133 9.477
```

- formation energy (no corrections) (eV per atom) = -0.564
- space group = P2_1/m